This record from the Alexandria database describes a geometry-optimized LiPr2Ir structure. The functional is PBE. Values from VASP.

Computed properties:
As for the formation energy: -0.29 eV per atom.

Quantum ESPRESSO input file:
```
&SYSTEM
  ibrav = 0, nat = 4, ntyp = 3
/
ATOMIC_SPECIES
Li 6.94 Li.upf
Pr 140.91 Pr.upf
Ir 192.22 Ir.upf
CELL_PARAMETERS angstrom
-1.4306 1.2612 -3.7812
1.0346 -2.1696 -3.4867
-6.7747 -4.9946 -1.4742
ATOMIC_POSITIONS crystal
Li 0.5031 0.5031 0.4907
Pr 0.0600 0.0600 0.8201
Pr 0.2717 0.2717 0.1848
Ir 0.6652 0.6652 0.0044
```

This record from the Alexandria database describes a geometry-optimized Cd2PtAu structure. The functional is PBE. Values from VASP.

Computed properties:
As for the formation energy: -0.15 eV per atom.

Quantum ESPRESSO input file:
```
&SYSTEM
  ibrav = 0, nat = 4, ntyp = 3
/
ATOMIC_SPECIES
Au 196.97 Au.upf
Pt 195.08 Pt.upf
Cd 112.41 Cd.upf
CELL_PARAMETERS angstrom
4.7086 0.0000 0.0000
2.3543 4.0778 0.0000
2.3543 1.3593 3.8445
ATOMIC_POSITIONS crystal
Au 0.5000 0.5000 0.5000
Pt 0.7500 0.7500 0.7500
Cd 0.0000 0.0000 0.0000
Cd 0.2500 0.2500 0.2500
```

This record from the Alexandria database describes a geometry-optimized DyThAl4 structure. The functional is PBE. Values from VASP.

Computed properties:
The value obtained for the energy above the most stable polymorph in this dataset is 44 meV/atom. As for the formation energy: -0.42 eV per atom.

Quantum ESPRESSO input file:
```
&SYSTEM
  ibrav = 0, nat = 6, ntyp = 3
/
ATOMIC_SPECIES
Dy 162.50 Dy.upf
Th 232.04 Th.upf
Al 26.98 Al.upf
CELL_PARAMETERS angstrom
4.0874 0.0000 -1.2621
-0.3897 4.0688 -1.2621
0.2837 0.3121 8.1682
ATOMIC_POSITIONS crystal
Dy 0.0000 0.0000 0.0000
Th 0.2500 0.7500 0.5000
Al 0.6670 0.1670 0.3341
Al 0.5818 0.5818 0.1637
Al 0.8330 0.3330 0.6659
Al 0.4182 0.4182 0.8363
```

This record from the Alexandria database describes a geometry-optimized YBr structure. The functional is PBE. Values from VASP.

Computed properties:
Its formation energy (no corrections) is -1.112 eV per atom.

Quantum ESPRESSO input file:
```
&SYSTEM
  ibrav = 0, nat = 16, ntyp = 2
/
ATOMIC_SPECIES
Y 88.91 Y.upf
Br 79.90 Br.upf
CELL_PARAMETERS angstrom
11.4357 0.0000 0.0000
0.0000 11.4357 0.0000
0.0000 0.0000 3.8732
ATOMIC_POSITIONS crystal
Y 0.3995 0.1474 0.0000
Y 0.6005 0.8526 0.0000
Y 0.8526 0.3995 0.0000
Y 0.1474 0.6005 0.0000
Y 0.8995 0.6474 0.5000
Y 0.1005 0.3526 0.5000
Y 0.3526 0.8995 0.5000
Y 0.6474 0.1005 0.5000
Br 0.3903 0.7016 0.0000
Br 0.6097 0.2984 0.0000
Br 0.2984 0.3903 0.0000
Br 0.7016 0.6097 0.0000
Br 0.8903 0.2016 0.5000
Br 0.1097 0.7984 0.5000
Br 0.7984 0.8903 0.5000
Br 0.2016 0.1097 0.5000
```

This record from the Alexandria database describes a geometry-optimized La9Tb4Th structure. The functional is PBE. Values from VASP.

Computed properties:
As for the formation energy: 0.15 eV per atom.

Quantum ESPRESSO input file:
```
&SYSTEM
  ibrav = 0, nat = 28, ntyp = 3
/
ATOMIC_SPECIES
La 138.91 La.upf
Tb 158.93 Tb.upf
Th 232.04 Th.upf
CELL_PARAMETERS angstrom
-4.2452 -2.7686 10.3457
1.8123 -9.7735 -1.8718
7.0845 5.6989 4.4321
ATOMIC_POSITIONS crystal
La 0.0353 0.7926 0.5852
La 0.0353 0.7926 0.2074
La 0.0353 0.4148 0.2074
La 0.9647 0.2074 0.4148
La 0.9647 0.2074 0.7926
La 0.9647 0.5852 0.7926
La 0.5353 0.2074 0.4148
La 0.5353 0.2074 0.7926
La 0.5353 0.5852 0.7926
La 0.4647 0.7926 0.5852
La 0.4647 0.7926 0.2074
La 0.4647 0.4148 0.2074
La 0.2500 0.4630 0.9260
La 0.2500 0.4630 0.5370
La 0.2500 0.0740 0.5370
La 0.7500 0.5370 0.0740
La 0.7500 0.5370 0.4630
La 0.7500 0.9260 0.4630
Tb 0.2500 0.1100 0.2199
Tb 0.2500 0.1100 0.8900
Tb 0.2500 0.7801 0.8900
Tb 0.7500 0.8900 0.7801
Tb 0.7500 0.8900 0.1100
Tb 0.7500 0.2199 0.1100
Tb 0.0000 0.0000 0.0000
Tb 0.5000 0.0000 0.0000
Th 0.2500 0.6667 0.3333
Th 0.7500 0.3333 0.6667
```

This record from the Alexandria database describes a geometry-optimized Li2TcPt2 structure. The functional is PBE. Values from VASP.

Computed properties:
The value obtained for the energy above the most stable polymorph in this dataset is 0 meV/atom. As for the formation energy: -0.22 eV per atom.

Quantum ESPRESSO input file:
```
&SYSTEM
  ibrav = 0, nat = 10, ntyp = 3
/
ATOMIC_SPECIES
Tc 98.00 Tc.upf
Pt 195.08 Pt.upf
Li 6.94 Li.upf
CELL_PARAMETERS angstrom
6.9958 0.0000 0.0000
0.0000 6.9958 0.0000
0.0000 0.0000 2.7159
ATOMIC_POSITIONS crystal
Tc 0.0000 0.0000 0.0000
Tc 0.5000 0.5000 0.0000
Pt 0.1936 0.6936 0.5000
Pt 0.6936 0.8064 0.5000
Pt 0.8064 0.3064 0.5000
Pt 0.3064 0.1936 0.5000
Li 0.3928 0.8928 0.0000
Li 0.8928 0.6072 0.0000
Li 0.6072 0.1072 0.0000
Li 0.1072 0.3928 0.0000
```

This record from the Alexandria database describes a geometry-optimized NaSc2TlO structure. The functional is PBE. Values from VASP.

Computed properties:
Its formation energy (no corrections) is -1.222 eV per atom.

Quantum ESPRESSO input file:
```
&SYSTEM
  ibrav = 0, nat = 5, ntyp = 4
/
ATOMIC_SPECIES
Sc 44.96 Sc.upf
Na 22.99 Na.upf
Tl 204.38 Tl.upf
O 16.00 O.upf
CELL_PARAMETERS angstrom
4.4420 0.0000 0.0000
0.0000 4.4420 0.0000
0.0000 0.0000 4.6212
ATOMIC_POSITIONS crystal
Sc 0.0000 0.5000 0.0000
Sc 0.5000 0.0000 0.0000
Na 0.0000 0.0000 0.5000
Tl 0.5000 0.5000 0.5000
O 0.0000 0.0000 0.0000
```

This record from the Alexandria database describes a geometry-optimized Rb2ZrVCr structure. The functional is PBE. Values from VASP.

Computed properties:
As for the formation energy: 1.76 eV per atom.

Quantum ESPRESSO input file:
```
&SYSTEM
  ibrav = 0, nat = 5, ntyp = 4
/
ATOMIC_SPECIES
Cr 52.00 Cr.upf
Rb 85.47 Rb.upf
Zr 91.22 Zr.upf
V 50.94 V.upf
CELL_PARAMETERS angstrom
6.4305 0.0000 0.0000
0.0000 4.7399 0.0000
0.0000 0.0000 6.4305
ATOMIC_POSITIONS crystal
Cr 0.5000 0.5000 0.5000
Rb 0.0000 0.0000 0.5000
Rb 0.5000 0.0000 0.0000
Zr 0.0000 0.5000 0.0000
V 0.0000 0.0000 0.0000
```

This record from the Alexandria database describes a geometry-optimized ZnTcSnO6 structure. The functional is PBE. Values from VASP.

Computed properties:
Its formation energy (no corrections) is -1.266 eV per atom.

Quantum ESPRESSO input file:
```
&SYSTEM
  ibrav = 0, nat = 18, ntyp = 4
/
ATOMIC_SPECIES
Zn 65.41 Zn.upf
Tc 98.00 Tc.upf
Sn 118.71 Sn.upf
O 16.00 O.upf
CELL_PARAMETERS angstrom
-3.5808 3.6506 1.2187
-1.3972 -4.2170 -2.8105
-1.9155 -4.4017 7.5568
ATOMIC_POSITIONS crystal
Zn 0.0000 0.0000 0.0000
Zn 0.0000 0.0000 0.5000
Tc 0.3333 0.6667 0.2500
Tc 0.6667 0.3333 0.7500
Sn 0.6667 0.3333 0.2500
Sn 0.3333 0.6667 0.7500
O 0.6382 0.6602 0.1302
O 0.0220 0.3618 0.1302
O 0.3618 0.0220 0.6302
O 0.9780 0.6382 0.8698
O 0.3398 0.3618 0.3698
O 0.0220 0.6602 0.3698
O 0.6602 0.0220 0.8698
O 0.6382 0.9780 0.3698
O 0.9780 0.3398 0.6302
O 0.3398 0.9780 0.1302
O 0.6602 0.6382 0.6302
O 0.3618 0.3398 0.8698
```

This record from the Alexandria database describes a geometry-optimized CsTl2PBr6 structure. The functional is PBE. Values from VASP.

Computed properties:
Its formation energy (no corrections) is -0.794 eV per atom.

Quantum ESPRESSO input file:
```
&SYSTEM
  ibrav = 0, nat = 10, ntyp = 4
/
ATOMIC_SPECIES
Cs 132.91 Cs.upf
Tl 204.38 Tl.upf
P 30.97 P.upf
Br 79.90 Br.upf
CELL_PARAMETERS angstrom
7.8533 -0.0001 0.0015
3.9265 6.8025 0.0008
3.9286 2.2690 7.8698
ATOMIC_POSITIONS crystal
Cs 0.7372 0.7372 0.7885
Tl 0.5054 0.5056 0.4834
Tl 0.9922 0.9924 0.0226
P 0.3359 0.3359 0.9923
Br 0.4632 0.3997 0.1542
Br 0.3998 0.9830 0.1543
Br 0.9831 0.4629 0.1544
Br 0.2798 0.7418 0.7551
Br 0.7417 0.2233 0.7551
Br 0.2232 0.2798 0.7554
```